Compound: DyMg2InGa
Source: Alexandria via LeMat-Bulk
Functional: PBE-GGA
Structure: optimized geometry

Output
spin magnetization = 0.000 μB/atom
crystal system = orthorhombic
electronic total energy = -2.908 eV/atom

Lattice parameters (Å, degrees): 3.4857 17.3943 8.3771 90.00 90.00 90.00
Space group Cmcm (No. 63)
Inequivalent atoms, fractional coordinates:
Dy1 0.0000 0.0979 0.2500 (multiplicity 4)
Mg1 0.0000 0.3264 0.0592 (multiplicity 8)
In1 0.0000 0.5000 0.0000 (multiplicity 4)
Ga1 0.0000 0.2597 0.7500 (multiplicity 4)